Record 1
A relaxed CeHf2 crystal. Source: the Alexandria database, functional PBE.

Unit cell a=3.1539 b=3.1539 c=7.6430 alpha=101.91 beta=101.91 gamma=90.00
With the nearest neighbours (Å) after each atom.
Positions (direct):
Hf  0.6769  0.6769  0.3539  8 Hf 3.09-3.15, 4 Ce 3.42
Hf  0.3231  0.3231  0.6461  8 Hf 3.09-3.15, 4 Ce 3.42
Ce  0.0000  0.0000  0.0000  4 Ce 3.15, 8 Hf 3.42

Calculated values
The total magnetization comes out at 0.16 Bohr magnetons per cell. The value obtained for the excess energy over the best structure of this formula in the dataset is 0.000 eV/atom.

Record 2
A relaxed Ce6Hf crystal. Source: the Alexandria database, functional PBE.

Unit cell a=6.5059 b=6.5059 c=6.5059 alpha=109.47 beta=109.47 gamma=109.47
With the nearest neighbours (Å) after each atom.
Positions (direct):
Ce  0.2500  0.7500  0.5000  4 Ce 2.66
Ce  0.5000  0.7500  0.2500  4 Ce 2.66
Ce  0.2500  0.5000  0.7500  4 Ce 2.66
Ce  0.7500  0.2500  0.5000  4 Ce 2.66
Ce  0.5000  0.2500  0.7500  4 Ce 2.66
Ce  0.7500  0.5000  0.2500  4 Ce 2.66
Hf  0.0000  0.0000  0.0000  24 Ce 4.20

Calculated values
The total magnetization comes out at 0.03 Bohr magnetons per cell.

Record 3
A relaxed Ce3Hf crystal. Source: the Alexandria database, functional PBE.

Unit cell a=5.2650 b=5.2650 c=5.2650 alpha=60.00 beta=60.00 gamma=60.00
With the nearest neighbours (Å) after each atom.
Positions (direct):
Hf  0.5000  0.5000  0.5000  8 Ce 3.22
Ce  0.0000  0.0000  0.0000  8 Ce 3.22
Ce  0.7500  0.7500  0.7500  4 Hf 3.22, 4 Ce 3.22
Ce  0.2500  0.2500  0.2500  4 Ce 3.22, 4 Hf 3.22

Calculated values
The total magnetization comes out at 0.01 Bohr magnetons per cell. The value obtained for the excess energy over the best structure of this formula in the dataset is 0.150 eV/atom.

Record 4
A relaxed CeHf2 crystal. Source: the Alexandria database, functional PBE.

Unit cell a=5.9807 b=5.9807 c=5.9807 alpha=60.00 beta=60.00 gamma=60.00
With the nearest neighbours (Å) after each atom.
Positions (direct):
Hf  0.1250  0.6250  0.6250  6 Hf 2.99
Hf  0.6250  0.1250  0.6250  6 Hf 2.99
Hf  0.6250  0.6250  0.6250  6 Hf 2.99
Hf  0.6250  0.6250  0.1250  6 Hf 2.99
Ce  0.0000  0.0000  0.0000  12 Hf 3.51, 4 Ce 3.66
Ce  0.2500  0.2500  0.2500  12 Hf 3.51, 4 Ce 3.66

Calculated values
The total magnetization comes out at 0.00 Bohr magnetons per cell. The value obtained for the excess energy over the best structure of this formula in the dataset is 0.269 eV/atom.

Record 5
A relaxed CeHf5 crystal. Source: the Alexandria database, functional PBE.

Unit cell a=4.5235 b=4.5194 c=7.1677 alpha=108.38 beta=90.00 gamma=90.00
With the nearest neighbours (Å) after each atom.
Positions (direct):
Hf  0.5000  0.8299  0.6598  10 Hf 3.14-3.23, 2 Ce 3.24
Hf  0.0000  0.6693  0.3385  10 Hf 3.15-3.23, 2 Ce 3.23
Hf  0.5000  0.5000  0.0000  4 Ce 3.20, 8 Hf 3.23
Hf  0.0000  0.3307  0.6615  10 Hf 3.15-3.23, 2 Ce 3.23
Hf  0.5000  0.1701  0.3402  10 Hf 3.14-3.23, 2 Ce 3.24
Ce  0.0000  0.0000  0.0000  12 Hf 3.20-3.24

Calculated values
The total magnetization comes out at 0.00 Bohr magnetons per cell.

Record 6
A relaxed Ce3Hf crystal. Source: the Alexandria database, functional PBE.

Unit cell a=4.7048 b=4.7048 c=4.7048 alpha=90.00 beta=90.00 gamma=90.00
With the nearest neighbours (Å) after each atom.
Positions (direct):
Hf  0.0000  0.0000  0.0000  12 Ce 3.33
Ce  0.0000  0.5000  0.5000  4 Hf 3.33, 8 Ce 3.33
Ce  0.5000  0.0000  0.5000  4 Hf 3.33, 8 Ce 3.33
Ce  0.5000  0.5000  0.0000  4 Hf 3.33, 8 Ce 3.33

Calculated values
The total magnetization comes out at 0.00 Bohr magnetons per cell. The value obtained for the excess energy over the best structure of this formula in the dataset is 0.024 eV/atom.

Record 7
A relaxed CeHf3 crystal. Source: the Alexandria database, functional PBE.

Unit cell a=5.0957 b=5.0957 c=5.0957 alpha=60.00 beta=60.00 gamma=60.00
With the nearest neighbours (Å) after each atom.
Positions (direct):
Hf  0.0000  0.0000  0.0000  8 Hf 3.12
Hf  0.7500  0.7500  0.7500  4 Hf 3.12, 4 Ce 3.12
Hf  0.2500  0.2500  0.2500  4 Hf 3.12, 4 Ce 3.12
Ce  0.5000  0.5000  0.5000  8 Hf 3.12

Calculated values
The total magnetization comes out at 0.00 Bohr magnetons per cell. The value obtained for the excess energy over the best structure of this formula in the dataset is 0.093 eV/atom.

Record 8
A relaxed Ce3Hf crystal. Source: the Alexandria database, functional PBE.

Unit cell a=3.1317 b=6.0527 c=6.3707 alpha=118.36 beta=104.23 gamma=90.00
With the nearest neighbours (Å) after each atom.
Positions (direct):
Hf  0.0000  0.0502  0.0000  2 Hf 3.13, 10 Ce 3.19-3.43
Ce  0.2663  0.5474  0.5326  3 Ce 2.87-3.13, 1 Hf 3.19
Ce  0.5000  0.5544  0.0000  4 Ce 2.87-3.13
Ce  0.7337  0.0147  0.4674  3 Ce 2.87-3.13, 1 Hf 3.19

Calculated values
The total magnetization comes out at 0.00 Bohr magnetons per cell. The value obtained for the excess energy over the best structure of this formula in the dataset is 0.005 eV/atom.

Q: Which formation energy values were calculated for the entries above? A: 0.089 0.991 0.257 0.359 0.106 0.131 0.215 0.112, in eV per atom.